Entry 1:
Crystalline Al5Ag4 at its relaxed geometry, computed with GGA-PBE.

Unit cell a=8.688 b=8.688 c=4.077 alpha=90.00 beta=90.00 gamma=90.00
Space group I4/mmm (No. 139)
Unique sites:
Al (0.000, 0.000, 0.000) [2 per cell]
Al (0.167, 0.167, 0.500) [8 per cell]
Ag (0.000, 0.323, 0.000) [8 per cell]

Output
* formation enthalpy at 0 K: 0.08 eV per formula unit
* crystal system: tetragonal
* total moment: 0.00 μB per formula unit
* energy above the lowest structure with this stoichiometry: 38 meV/atom



Entry 2:
Crystalline Al2Ag5 at its relaxed geometry, computed with GGA-PBE.

Unit cell a=2.994 b=3.864 c=20.894 alpha=90.00 beta=90.00 gamma=90.00
Space group Immm (No. 71)
Unique sites:
Al (0.000, 0.000, 0.072) [4 per cell]
Ag (0.000, 0.000, 0.213) [4 per cell]
Ag (0.000, 0.000, 0.362) [4 per cell]
Ag (0.000, 0.000, 0.500) [2 per cell]

Output
* formation enthalpy at 0 K: -0.14 eV per formula unit
* crystal system: orthorhombic
* total moment: 0.00 μB per formula unit
* energy above the lowest structure with this stoichiometry: 28 meV/atom



Entry 3:
Crystalline Al4Ag5 at its relaxed geometry, computed with GGA-PBE.

Unit cell a=7.9105 b=7.9105 c=5.7037 alpha=90.00 beta=90.00 gamma=120.00
Space group P6_3/mcm (No. 193)
Unique sites:
Al (0.0000, 0.0000, 0.0000) [2 per cell]
Al (0.0000, 0.3434, 0.2500) [6 per cell]
Ag (0.0000, 0.3202, 0.7500) [6 per cell]
Ag (0.3333, 0.6667, 0.0000) [4 per cell]

Output
* formation enthalpy at 0 K: 0.23 eV per formula unit
* crystal system: hexagonal
* total moment: 0.00 μB per formula unit
* energy above the lowest structure with this stoichiometry: 58 meV/atom



Entry 4:
Crystalline AlAg2 at its relaxed geometry, computed with GGA-PBE.

Unit cell a=4.030 b=4.030 c=25.192 alpha=90.00 beta=90.00 gamma=90.00
Space group I4_1/amd (No. 141, origin choice 2)
Unique sites:
Al (0.000, 0.250, 0.292) [8 per cell]
Ag (0.000, 0.250, 0.125) [8 per cell]
Ag (0.000, 0.250, 0.790) [8 per cell]

Output
* formation enthalpy at 0 K: -0.08 eV per formula unit
* crystal system: tetragonal
* total moment: 0.00 μB per formula unit



Q: What is the total moment in the second record?
A: 0.00 μB per formula unit